--- A ---
4
Lattice="4.7807 0.0414 0.0000 -1.6099 4.5017 0.0000 0.0000 0.0000 2.8503" Properties=species:S:1:pos:R:3 comment="PBE-GGA CuW3, optimized geometry" m_tot_mub_per_fu=0.00 rho_g_cm3=16.60 pbc="T T T"
Cu 0.0000 0.0000 0.0000
W -0.8050 2.2509 1.4252
W 2.3904 0.0207 1.4252
W 1.5854 2.2715 0.0000

--- B ---
4
Lattice="-2.4683 -0.8337 0.9109 -0.3206 -4.0248 -8.7341 -0.2094 -2.3038 1.5054" Properties=species:S:1:pos:R:3 comment="PBE-GGA CuW3, optimized geometry" m_tot_mub_per_fu=0.00 rho_g_cm3=16.32 pbc="T T T"
Cu 0.0000 0.0000 0.0000
W -0.9237 -3.8609 -6.0370
W -1.4991 -3.5812 -3.1589
W -2.0746 -3.3015 -0.2809

Bottom line: A, by a margin of 73 meV/atom.

--- A ---
4
Lattice="4.5414 -0.7781 -0.4825 0.8204 4.5340 0.4825 -2.4050 -2.2718 3.2431" Properties=species:S:1:pos:R:3 comment="PBE-GGA YCuW2, optimized geometry" m_tot_mub_per_fu=0.00 rho_g_cm3=12.27 pbc="T T T"
Cu 0.5482 2.0701 1.8628
W 0.0004 0.0003 0.0000
W 2.4083 -0.5862 1.3803
Y 2.6808 1.8779 0.0000

--- B ---
4
Lattice="-1.2155 -1.8979 -1.6441 2.3994 -0.3392 -1.3822 2.3732 -6.4619 5.7052" Properties=species:S:1:pos:R:3 comment="PBE-GGA YCuW2, optimized geometry" m_tot_mub_per_fu=0.00 rho_g_cm3=12.41 pbc="T T T"
Cu 2.4271 -6.1156 2.8987
W 2.3232 -6.3259 5.5851
W 1.1429 -2.6188 -0.1886
Y 1.2236 -3.3316 2.9415

--- C ---
4
Lattice="-0.0757 0.4740 2.7643 1.6586 -2.2219 0.4291 7.1132 5.1760 -0.6927" Properties=species:S:1:pos:R:3 comment="PBE-GGA YCuW2, optimized geometry" m_tot_mub_per_fu=0.00 rho_g_cm3=12.43 pbc="T T T"
Cu 6.1264 3.0080 1.0771
W 6.8433 4.9796 -0.6664
W 3.8266 2.7844 -0.3727
Y 2.5697 0.4201 1.4235

Bottom line: A, by a margin of 53 meV/atom.

--- A ---
4
Lattice="-0.2795 -1.3443 -2.9826 3.2693 0.0087 -0.3103 3.4628 -6.2092 2.4741" Properties=species:S:1:pos:R:3 comment="PBE-GGA YCuW2, optimized geometry" m_tot_mub_per_fu=0.00 rho_g_cm3=11.75 pbc="T T T"
Cu 4.9293 -5.5767 0.2443
W 0.0374 -0.0369 0.0131
W 1.4979 -1.9065 -1.0884
Y 3.3540 -3.1249 1.0942

--- B ---
4
Lattice="2.8713 0.0012 0.0000 -0.9207 2.7196 0.0000 0.0000 0.0000 9.0533" Properties=species:S:1:pos:R:3 comment="PBE-GGA YCuW2, optimized geometry" m_tot_mub_per_fu=0.00 rho_g_cm3=12.22 pbc="T T T"
Cu 0.9753 1.3604 7.0010
W 0.0000 0.0000 9.0015
W 0.9753 1.3604 2.0259
Y 0.0000 0.0000 4.6049

Bottom line: A, by a margin of 137 meV/atom.

--- A ---
4
Lattice="-2.8113 -3.1377 2.3168 3.1028 -2.1683 0.8285 0.5041 1.9796 3.2927" Properties=species:S:1:pos:R:3 comment="PBE-GGA YCuW2, optimized geometry" m_tot_mub_per_fu=0.00 rho_g_cm3=11.96 pbc="T T T"
Cu -1.1536 -0.5790 2.8048
W 0.0000 0.0000 0.0000
W 1.8035 -0.0943 2.0606
Y 0.1457 -2.6530 1.5727

--- B ---
8
Lattice="-1.2532 -0.0902 -3.6100 -2.3657 -2.8666 0.8928 -9.2518 5.4146 1.0527" Properties=species:S:1:pos:R:3 comment="PBE-GGA YCuW2, optimized geometry" m_tot_mub_per_fu=0.00 rho_g_cm3=11.34 pbc="T T T"
Y 0.0000 0.0000 0.0000
Y -6.1572 1.9230 -1.9580
Cu -1.8094 -1.4784 -1.3586
Cu -6.7135 0.5348 0.2934
W -3.3875 0.9393 -1.8687
W -3.9526 -0.4496 0.3572
W -8.3043 2.9420 -0.2263
W -10.0970 1.4839 -1.5912

--- C ---
4
Lattice="4.8548 -0.0096 0.0082 4.0368 2.6970 0.0082 0.6097 0.1843 5.5499" Properties=species:S:1:pos:R:3 comment="PBE-GGA YCuW2, optimized geometry" m_tot_mub_per_fu=0.00 rho_g_cm3=11.85 pbc="T T T"
Cu 7.0452 2.1294 4.2824
W 0.1269 0.0384 0.0796
W 2.4069 0.7275 1.0972
Y 4.6729 1.4124 2.8904

--- D ---
4
Lattice="-6.3718 7.4134 2.5781 -8.1293 5.2034 3.0073 -6.3372 6.0251 5.0738" Properties=species:S:1:pos:R:3 comment="PBE-GGA YCuW2, optimized geometry" m_tot_mub_per_fu=0.40 rho_g_cm3=12.26 pbc="T T T"
Cu -15.6287 13.9815 7.9944
W -0.2073 0.1855 0.1060
W -10.2118 9.1355 5.2235
Y -5.2096 4.6605 2.6648

Bottom line: A, by a margin of 47 meV/atom.

--- A ---
4
Lattice="5.4716 0.0011 0.0000 -2.7088 4.7541 0.0000 0.0000 0.0000 2.7574" Properties=species:S:1:pos:R:3 comment="PBE-GGA YCuW2, optimized geometry" m_tot_mub_per_fu=0.00 rho_g_cm3=12.04 pbc="T T T"
Cu -1.3544 2.3770 1.3787
W 0.0000 0.0000 0.0000
W 1.3814 2.3776 0.0000
Y 2.7358 0.0006 1.3787

--- B ---
4
Lattice="-5.1513 1.7276 -1.9843 -3.3763 -3.3620 -3.2795 2.7966 0.9036 4.9820" Properties=species:S:1:pos:R:3 comment="PBE-GGA YCuW2, optimized geometry" m_tot_mub_per_fu=0.00 rho_g_cm3=12.06 pbc="T T T"
Cu -2.4217 -1.6378 -0.4647
W -0.1617 -0.0310 -0.0998
W -4.1021 -0.7862 -2.5321
Y -3.3092 0.9070 0.1829

--- C ---
4
Lattice="-0.6685 -2.7466 -4.2002 -3.6201 -1.2623 4.2334 -2.3528 1.2821 -0.9032" Properties=species:S:1:pos:R:3 comment="PBE-GGA YCuW2, optimized geometry" m_tot_mub_per_fu=0.00 rho_g_cm3=12.14 pbc="T T T"
Cu -2.1443 -2.0045 0.0166
W 0.0000 0.0000 0.0000
W -1.5106 -0.7322 -2.5517
Y -2.9864 0.0099 1.6651

Bottom line: B, by a margin of 119 meV/atom.

--- A ---
4
Lattice="2.7508 0.0000 0.0000 0.0000 4.8963 0.0000 0.0000 0.0000 5.4255" Properties=species:S:1:pos:R:3 comment="PBE-GGA YCuW2, optimized geometry" m_tot_mub_per_fu=0.00 rho_g_cm3=11.82 pbc="T T T"
Cu 1.3754 2.4481 4.0691
W 0.0000 0.0000 0.0247
W 0.0000 0.0000 2.6881
Y 1.3754 2.4481 1.3564

--- B ---
4
Lattice="-4.3537 -0.0897 -2.5091 -1.4796 -0.2331 2.5757 -0.5658 4.8408 0.8087" Properties=species:S:1:pos:R:3 comment="PBE-GGA YCuW2, optimized geometry" m_tot_mub_per_fu=0.00 rho_g_cm3=11.76 pbc="T T T"
Cu -3.7109 3.4109 1.2838
W -1.8648 4.6012 3.0713
W -1.2033 2.3103 2.0054
Y -2.6882 1.1071 -0.4084

Bottom line: B, by a margin of 210 meV/atom.

--- A ---
4
Lattice="-2.6615 -4.0226 2.8438 2.8379 -4.7897 0.5978 1.0971 5.4272 0.8330" Properties=species:S:1:pos:R:3 comment="PBE-GGA Y2CuW, optimized geometry" m_tot_mub_per_fu=0.00 rho_g_cm3=8.32 pbc="T T T"
Cu 0.0882 -4.4061 1.7208
W -0.7381 -1.5008 2.6987
Y 0.0000 0.0000 0.0000
Y 2.0116 -1.8843 1.5757

--- B ---
4
Lattice="9.6066 0.0136 0.0080 9.0444 3.2382 0.0080 9.0444 1.5769 2.8284" Properties=species:S:1:pos:R:3 comment="PBE-GGA Y2CuW, optimized geometry" m_tot_mub_per_fu=0.00 rho_g_cm3=8.08 pbc="T T T"
Cu 6.9239 1.2072 0.7111
W 20.7716 3.6216 2.1333
Y 27.6553 4.8218 2.8403
Y 13.8880 2.4214 1.4263

Bottom line: A, by a margin of 44 meV/atom.

--- A ---
4
Lattice="3.1729 -3.7897 0.2904 -0.3621 -3.7808 -3.1761 3.4381 -0.6245 -3.5076" Properties=species:S:1:pos:R:3 comment="PBE-GGA Y2CuW, optimized geometry" m_tot_mub_per_fu=0.91 rho_g_cm3=8.23 pbc="T T T"
Y 1.5622 -2.0488 -1.5983
Y 4.6867 -6.1463 -4.7949
Cu 0.0000 0.0000 0.0000
W 3.1244 -4.0975 -3.1966

--- B ---
4
Lattice="5.7513 0.0048 0.0044 4.8788 3.0454 0.0044 1.6902 0.4850 4.9523" Properties=species:S:1:pos:R:3 comment="PBE-GGA Y2CuW, optimized geometry" m_tot_mub_per_fu=0.00 rho_g_cm3=8.15 pbc="T T T"
Cu 6.5553 1.8810 2.5935
W 2.6544 0.7617 1.1472
Y 10.4583 3.0010 0.2815
Y 9.4425 2.7095 3.4284

Bottom line: B, by a margin of 104 meV/atom.